(1)
# ZrCo2Mo

A relaxed ZrCo2Mo crystal (GGA-PBEsol, Alexandria).

a = 9.094 Å, b = 9.094 Å, c = 9.094 Å
α = 17.15°, β = 17.15°, γ = 17.15°
Positions (direct):
Zr: 0.000 0.000 0.000
Co: 0.245 0.245 0.245
Co: 0.511 0.511 0.511
Mo: 0.767 0.767 0.767

## Properties
Fermi-level density of states, states/eV per cell: 5.036
Mass density, Mg/m³: 8.9

=====

(2)
# ZrCo2Mo

A relaxed ZrCo2Mo crystal (GGA-PBEsol, Alexandria).

a = 2.762 Å, b = 3.555 Å, c = 5.622 Å
α = 90.00°, β = 90.12°, γ = 90.00°
Positions (direct):
Zr: 0.000 0.000 0.000
Co: 0.500 0.500 0.277
Co: 0.500 0.500 0.723
Mo: 0.000 0.000 0.500

## Properties
Fermi-level density of states, states/eV per cell: 4.096
Mass density, Mg/m³: 9.2

=====

Tell me which of them is the least stable. Sure, it is (1).

=====

(1)
# CoSiSe2N

A relaxed CoSiSe2N crystal (GGA-PBEsol, Alexandria).

a = 4.977 Å, b = 4.977 Å, c = 3.221 Å
α = 90.00°, β = 90.00°, γ = 90.00°
Positions (direct):
Co: 0.000 0.000 0.000
Si: 0.500 0.500 0.500
Se: 0.000 0.500 0.500
Se: 0.500 0.000 0.500
N: 0.500 0.500 0.000

## Properties
Fermi-level density of states, states/eV per cell: 5.573
Mass density, Mg/m³: 5.4

=====

(2)
# CoSiSe2N

A relaxed CoSiSe2N crystal (GGA-PBEsol, Alexandria).

a = 4.838 Å, b = 4.838 Å, c = 3.348 Å
α = 90.00°, β = 90.00°, γ = 90.00°
Positions (direct):
Co: 0.000 0.000 0.000
Si: 0.500 0.500 0.500
Se: 0.000 0.500 0.000
Se: 0.500 0.000 0.000
N: 0.000 0.000 0.500

## Properties
Fermi-level density of states, states/eV per cell: 2.378
Mass density, Mg/m³: 5.5

=====

Tell me which of them is the least stable. Sure, it is (1).

=====

(1)
# Na3CoO3

A relaxed Na3CoO3 crystal (GGA-PBEsol, Alexandria).

a = 7.424 Å, b = 7.424 Å, c = 7.424 Å
α = 90.00°, β = 90.00°, γ = 90.00°
Positions (direct):
Na: 0.036 0.036 0.036
Na: 0.208 0.292 0.708
Na: 0.233 0.733 0.767
Na: 0.267 0.267 0.267
Na: 0.292 0.708 0.208
Na: 0.464 0.964 0.536
Na: 0.536 0.464 0.964
Na: 0.708 0.208 0.292
Na: 0.733 0.767 0.233
Na: 0.767 0.233 0.733
Na: 0.792 0.792 0.792
Na: 0.964 0.536 0.464
Co: 0.022 0.522 0.978
Co: 0.478 0.478 0.478
Co: 0.522 0.978 0.022
Co: 0.978 0.022 0.522
O: 0.001 0.226 0.404
O: 0.096 0.999 0.726
O: 0.226 0.404 0.001
O: 0.274 0.596 0.501
O: 0.404 0.001 0.226
O: 0.499 0.774 0.904
O: 0.501 0.274 0.596
O: 0.596 0.501 0.274
O: 0.726 0.096 0.999
O: 0.774 0.904 0.499
O: 0.904 0.499 0.774
O: 0.999 0.726 0.096

## Properties
Mass density, Mg/m³: 2.9

=====

(2)
# Na3CoO3

A relaxed Na3CoO3 crystal (GGA-PBEsol, Alexandria).

a = 8.208 Å, b = 8.208 Å, c = 8.208 Å
α = 109.47°, β = 109.47°, γ = 109.47°
Positions (direct):
Na: 0.000 0.493 0.727
Na: 0.000 0.727 0.493
Na: 0.234 0.507 0.507
Na: 0.273 0.273 0.766
Na: 0.273 0.766 0.273
Na: 0.493 0.000 0.727
Na: 0.493 0.727 0.000
Na: 0.507 0.234 0.507
Na: 0.507 0.507 0.234
Na: 0.727 0.000 0.493
Na: 0.727 0.493 0.000
Na: 0.766 0.273 0.273
Co: 0.000 0.000 0.369
Co: 0.000 0.369 0.000
Co: 0.369 0.000 0.000
Co: 0.631 0.631 0.631
O: 0.000 0.226 0.477
O: 0.000 0.477 0.226
O: 0.226 0.000 0.477
O: 0.226 0.477 0.000
O: 0.251 0.774 0.774
O: 0.477 0.000 0.226
O: 0.477 0.226 0.000
O: 0.523 0.523 0.749
O: 0.523 0.749 0.523
O: 0.749 0.523 0.523
O: 0.774 0.251 0.774
O: 0.774 0.774 0.251

## Properties
Mass density, Mg/m³: 2.7

=====

Tell me which of them is the least stable. Sure, it is (1).

=====

(1)
# Na3CoO3

A relaxed Na3CoO3 crystal (GGA-PBEsol, Alexandria).

a = 6.497 Å, b = 6.497 Å, c = 4.734 Å
α = 90.00°, β = 90.00°, γ = 101.12°
Positions (direct):
Na: 0.102 0.898 0.750
Na: 0.166 0.389 0.750
Na: 0.389 0.166 0.250
Na: 0.611 0.834 0.750
Na: 0.834 0.611 0.250
Na: 0.898 0.102 0.250
Co: 0.304 0.696 0.250
Co: 0.696 0.304 0.750
O: 0.128 0.872 0.250
O: 0.182 0.431 0.250
O: 0.431 0.182 0.750
O: 0.569 0.818 0.250
O: 0.818 0.569 0.750
O: 0.872 0.128 0.750

## Properties
Fermi-level density of states, states/eV per cell: 4.457
Mass density, Mg/m³: 3.0

=====

(2)
# Na3CoO3

A relaxed Na3CoO3 crystal (GGA-PBEsol, Alexandria).

a = 8.887 Å, b = 8.887 Å, c = 4.533 Å
α = 90.00°, β = 90.00°, γ = 90.00°
Positions (direct):
Na: 0.119 0.365 0.000
Na: 0.135 0.619 0.500
Na: 0.140 0.860 0.000
Na: 0.360 0.360 0.500
Na: 0.365 0.119 0.000
Na: 0.381 0.865 0.500
Na: 0.619 0.135 0.500
Na: 0.635 0.881 0.000
Na: 0.640 0.640 0.500
Na: 0.860 0.140 0.000
Na: 0.865 0.381 0.500
Na: 0.881 0.635 0.000
Co: 0.115 0.115 0.500
Co: 0.385 0.615 0.000
Co: 0.615 0.385 0.000
Co: 0.885 0.885 0.500
O: 0.093 0.907 0.500
O: 0.106 0.314 0.500
O: 0.186 0.606 0.000
O: 0.314 0.106 0.500
O: 0.394 0.814 0.000
O: 0.407 0.407 0.000
O: 0.593 0.593 0.000
O: 0.606 0.186 0.000
O: 0.686 0.894 0.500
O: 0.814 0.394 0.000
O: 0.894 0.686 0.500
O: 0.907 0.093 0.500

## Properties
Fermi-level density of states, states/eV per cell: 14.465
Mass density, Mg/m³: 3.3

=====

Tell me which of them is the least stable. Sure, it is (1).